# 1
Compound: SrHfHgW2
Source: Alexandria
Functional: PBE
Structure: optimized geometry Values from VASP.

Results
V ... 23.526 A^3/atom
Total magnetization ... 0.00 μB per cell
E_form ... 2.98 eV/atom
Uncorrected energy ... -0.3371 Ry/atom

Structure (Quantum ESPRESSO input):
```
&SYSTEM
  ibrav = 0, nat = 5, ntyp = 4
/
ATOMIC_SPECIES
Sr 87.62 Sr.upf
Hf 178.49 Hf.upf
Hg 200.59 Hg.upf
W 183.84 W.upf
CELL_PARAMETERS angstrom
4.828 0.000 0.000
0.000 5.047 0.000
0.000 0.000 4.828
ATOMIC_POSITIONS crystal
Sr 0.000 0.000 0.000
Hf 0.000 0.500 0.000
Hg 0.500 0.500 0.500
W 0.000 0.000 0.500
W 0.500 0.000 0.000
```

# 2
Compound: HfTa3Hg
Source: Alexandria
Functional: PBE
Structure: optimized geometry Values from VASP.

Results
V ... 25.039 A^3/atom
ΔE to the lowest computed polymorph ... 119.5 meV/atom
Total magnetization ... 0.00 μB per cell
E_form ... 2.00 eV/atom
Uncorrected energy ... -0.5268 Ry/atom

Structure (Quantum ESPRESSO input):
```
&SYSTEM
  ibrav = 0, nat = 5, ntyp = 3
/
ATOMIC_SPECIES
Hf 178.49 Hf.upf
Hg 200.59 Hg.upf
Ta 180.95 Ta.upf
CELL_PARAMETERS angstrom
5.003 0.000 0.000
0.000 5.003 0.000
0.000 0.000 5.003
ATOMIC_POSITIONS crystal
Hf 0.500 0.500 0.500
Hg 0.000 0.000 0.000
Ta 0.000 0.500 0.000
Ta 0.000 0.000 0.500
Ta 0.500 0.000 0.000
```

# 3
Compound: HfTa3Hg
Source: Alexandria
Functional: PBE
Structure: optimized geometry Values from VASP.

Results
V ... 23.882 A^3/atom
ΔE to the lowest computed polymorph ... 0.0 meV/atom
Total magnetization ... 0.00 μB per cell
E_form ... 1.88 eV/atom
Uncorrected energy ... -0.5355 Ry/atom

Structure (Quantum ESPRESSO input):
```
&SYSTEM
  ibrav = 0, nat = 5, ntyp = 3
/
ATOMIC_SPECIES
Hf 178.49 Hf.upf
Hg 200.59 Hg.upf
Ta 180.95 Ta.upf
CELL_PARAMETERS angstrom
4.924 0.000 0.000
0.000 4.924 0.000
0.000 0.000 4.924
ATOMIC_POSITIONS crystal
Hf 0.000 0.000 0.000
Hg 0.500 0.500 0.500
Ta 0.000 0.500 0.000
Ta 0.000 0.000 0.500
Ta 0.500 0.000 0.000
```

# 4
Compound: HfTaHg
Source: Alexandria
Functional: PBE
Structure: optimized geometry Values from VASP.

Results
V ... 20.729 A^3/atom
ΔE to the lowest computed polymorph ... 353.4 meV/atom
Total magnetization ... 0.00 μB per cell
E_form ... 0.34 eV/atom
Uncorrected energy ... -0.5165 Ry/atom

Structure (Quantum ESPRESSO input):
```
&SYSTEM
  ibrav = 0, nat = 6, ntyp = 3
/
ATOMIC_SPECIES
Ta 180.95 Ta.upf
Hg 200.59 Hg.upf
Hf 178.49 Hf.upf
CELL_PARAMETERS angstrom
5.147 1.464 -0.679
1.439 5.154 -0.679
-3.949 -3.968 5.906
ATOMIC_POSITIONS crystal
Ta 0.402 0.402 0.757
Ta 0.598 0.598 0.243
Hg 0.749 0.749 0.739
Hg 0.251 0.251 0.261
Hf 0.098 0.098 0.763
Hf 0.902 0.902 0.237
```

# 5
Compound: Hf2Ta2Hg
Source: Alexandria
Functional: PBE
Structure: optimized geometry Values from VASP.

Results
V ... 21.124 A^3/atom
Total magnetization ... 0.00 μB per cell
E_form ... 0.26 eV/atom
Uncorrected energy ... -0.6266 Ry/atom

Structure (Quantum ESPRESSO input):
```
&SYSTEM
  ibrav = 0, nat = 10, ntyp = 3
/
ATOMIC_SPECIES
Hf 178.49 Hf.upf
Hg 200.59 Hg.upf
Ta 180.95 Ta.upf
CELL_PARAMETERS angstrom
-1.359 -0.768 7.214
7.243 0.271 1.393
-0.215 3.854 0.370
ATOMIC_POSITIONS crystal
Hf 0.169 0.669 0.500
Hf 0.669 0.831 0.500
Hf 0.831 0.331 0.500
Hf 0.331 0.169 0.500
Hg 0.000 0.000 0.000
Hg 0.500 0.500 0.000
Ta 0.374 0.874 0.000
Ta 0.874 0.626 0.000
Ta 0.626 0.126 0.000
Ta 0.126 0.374 0.000
```

# 6
Compound: HfTa2Hg
Source: Alexandria
Functional: PBE
Structure: optimized geometry Values from VASP.

Results
V ... 21.087 A^3/atom
Total magnetization ... 0.00 μB per cell
E_form ... 0.60 eV/atom
Uncorrected energy ... -0.5803 Ry/atom

Structure (Quantum ESPRESSO input):
```
&SYSTEM
  ibrav = 0, nat = 8, ntyp = 3
/
ATOMIC_SPECIES
Hf 178.49 Hf.upf
Hg 200.59 Hg.upf
Ta 180.95 Ta.upf
CELL_PARAMETERS angstrom
4.034 0.000 0.000
0.000 4.034 0.000
2.017 2.017 10.364
ATOMIC_POSITIONS crystal
Hf 0.500 0.500 0.000
Hf 0.250 0.750 0.500
Hg 0.000 0.000 0.000
Hg 0.750 0.250 0.500
Ta 0.617 0.125 0.250
Ta 0.133 0.625 0.250
Ta 0.375 0.383 0.750
Ta 0.875 0.867 0.750
```

# 7
Compound: HfTaHg
Source: Alexandria
Functional: PBE
Structure: optimized geometry Values from VASP.

Results
V ... 20.277 A^3/atom
ΔE to the lowest computed polymorph ... 180.2 meV/atom
Total magnetization ... 0.00 μB per cell
E_form ... 0.17 eV/atom
Uncorrected energy ... -0.5292 Ry/atom

Structure (Quantum ESPRESSO input):
```
&SYSTEM
  ibrav = 0, nat = 3, ntyp = 3
/
ATOMIC_SPECIES
Hf 178.49 Hf.upf
Hg 200.59 Hg.upf
Ta 180.95 Ta.upf
CELL_PARAMETERS angstrom
3.478 0.000 0.000
0.000 3.478 0.000
-1.739 -1.739 5.029
ATOMIC_POSITIONS crystal
Hf 0.671 0.671 0.341
Hg 0.997 0.997 0.994
Ta 0.332 0.332 0.665
```

# 8
Compound: HfTaHg
Source: Alexandria
Functional: PBE
Structure: optimized geometry Values from VASP.

Results
V ... 20.671 A^3/atom
ΔE to the lowest computed polymorph ... 0.0 meV/atom
Total magnetization ... 0.00 μB per cell
E_form ... -0.01 eV/atom
Uncorrected energy ... -0.5425 Ry/atom

Structure (Quantum ESPRESSO input):
```
&SYSTEM
  ibrav = 0, nat = 6, ntyp = 3
/
ATOMIC_SPECIES
Hf 178.49 Hf.upf
Ta 180.95 Ta.upf
Hg 200.59 Hg.upf
CELL_PARAMETERS angstrom
3.378 -0.197 -0.001
0.197 3.378 -0.001
0.008 0.007 10.829
ATOMIC_POSITIONS crystal
Hf 0.250 0.250 0.771
Hf 0.750 0.750 0.229
Ta 0.250 0.250 0.071
Ta 0.750 0.750 0.929
Hg 0.751 0.751 0.592
Hg 0.249 0.249 0.408
```

# 9
Compound: HfTaTiHg
Source: Alexandria
Functional: PBE
Structure: optimized geometry Values from VASP.

Results
V ... 19.097 A^3/atom
Total magnetization ... 0.00 μB per cell
E_form ... 0.14 eV/atom
Uncorrected energy ... -0.5413 Ry/atom

Structure (Quantum ESPRESSO input):
```
&SYSTEM
  ibrav = 0, nat = 4, ntyp = 4
/
ATOMIC_SPECIES
Ti 47.87 Ti.upf
Hf 178.49 Hf.upf
Hg 200.59 Hg.upf
Ta 180.95 Ta.upf
CELL_PARAMETERS angstrom
4.763 0.000 0.000
2.381 4.125 0.000
2.381 1.375 3.889
ATOMIC_POSITIONS crystal
Ti 0.000 0.000 0.000
Hf 0.500 0.500 0.500
Hg 0.250 0.250 0.250
Ta 0.750 0.750 0.750
```

# 10
Compound: HfTa2TlHg
Source: Alexandria
Functional: PBE
Structure: optimized geometry Values from VASP.

Results
V ... 27.180 A^3/atom
Total magnetization ... 1.01 μB per cell
E_form ... 1.96 eV/atom
Uncorrected energy ... -0.3898 Ry/atom

Structure (Quantum ESPRESSO input):
```
&SYSTEM
  ibrav = 0, nat = 5, ntyp = 4
/
ATOMIC_SPECIES
Tl 204.38 Tl.upf
Hf 178.49 Hf.upf
Hg 200.59 Hg.upf
Ta 180.95 Ta.upf
CELL_PARAMETERS angstrom
-3.416 3.783 0.319
-1.992 -2.152 4.181
3.297 2.727 2.974
ATOMIC_POSITIONS crystal
Tl 0.000 0.000 0.000
Hf 0.000 0.000 0.500
Hg 0.500 0.500 0.500
Ta 0.000 0.500 0.000
Ta 0.500 0.000 0.000
```

# 11
Compound: HfTaHg2W
Source: Alexandria
Functional: PBE
Structure: optimized geometry Values from VASP.

Results
V ... 25.841 A^3/atom
Total magnetization ... 0.00 μB per cell
E_form ... 1.79 eV/atom
Uncorrected energy ... -0.3881 Ry/atom

Structure (Quantum ESPRESSO input):
```
&SYSTEM
  ibrav = 0, nat = 5, ntyp = 4
/
ATOMIC_SPECIES
Hf 178.49 Hf.upf
Hg 200.59 Hg.upf
W 183.84 W.upf
Ta 180.95 Ta.upf
CELL_PARAMETERS angstrom
-4.815 -1.398 1.193
1.155 0.055 4.725
-1.371 4.960 0.277
ATOMIC_POSITIONS crystal
Hf 0.000 0.500 0.000
Hg 0.000 0.000 0.500
Hg 0.500 0.000 0.000
W 0.000 0.000 0.000
Ta 0.500 0.500 0.500
```

# 12
Compound: Tb2HfHg
Source: Alexandria
Functional: PBE
Structure: optimized geometry Values from VASP.

Results
V ... 26.275 A^3/atom
ΔE to the lowest computed polymorph ... 0.0 meV/atom
Total magnetization ... 0.00 μB per cell
E_form ... -0.16 eV/atom
Uncorrected energy ... -0.3701 Ry/atom

Structure (Quantum ESPRESSO input):
```
&SYSTEM
  ibrav = 0, nat = 4, ntyp = 3
/
ATOMIC_SPECIES
Tb 158.93 Tb.upf
Hf 178.49 Hf.upf
Hg 200.59 Hg.upf
CELL_PARAMETERS angstrom
3.439 0.000 0.000
0.000 3.439 0.000
0.000 0.000 8.888
ATOMIC_POSITIONS crystal
Tb 0.000 0.000 0.756
Tb 0.000 0.000 0.244
Hf 0.500 0.500 0.500
Hg 0.500 0.500 0.000
```

# 13
Compound: Tb2HfHg
Source: Alexandria
Functional: PBE
Structure: optimized geometry Values from VASP.

Results
V ... 27.267 A^3/atom
ΔE to the lowest computed polymorph ... 430.2 meV/atom
Total magnetization ... 0.00 μB per cell
E_form ... 0.27 eV/atom
Uncorrected energy ... -0.3385 Ry/atom

Structure (Quantum ESPRESSO input):
```
&SYSTEM
  ibrav = 0, nat = 4, ntyp = 3
/
ATOMIC_SPECIES
Tb 158.93 Tb.upf
Hf 178.49 Hf.upf
Hg 200.59 Hg.upf
CELL_PARAMETERS angstrom
-1.314 1.367 -2.697
1.255 -0.680 -2.972
-7.278 -8.745 -2.901
ATOMIC_POSITIONS crystal
Tb 0.092 0.092 0.725
Tb 0.908 0.908 0.275
Hf 0.000 0.000 0.000
Hg 0.500 0.500 0.500
```

# 14
Compound: Tb4HfHg5
Source: Alexandria
Functional: PBE
Structure: optimized geometry Values from VASP.

Results
V ... 25.023 A^3/atom
Total magnetization ... 1.08 μB per cell
E_form ... -0.36 eV/atom
Uncorrected energy ... -0.2470 Ry/atom

Structure (Quantum ESPRESSO input):
```
&SYSTEM
  ibrav = 0, nat = 10, ntyp = 3
/
ATOMIC_SPECIES
Tb 158.93 Tb.upf
Hf 178.49 Hf.upf
Hg 200.59 Hg.upf
CELL_PARAMETERS angstrom
3.683 0.000 0.000
0.000 3.683 0.000
0.000 0.000 18.443
ATOMIC_POSITIONS crystal
Tb 0.000 0.000 0.191
Tb 0.000 0.000 0.397
Tb 0.000 0.000 0.603
Tb 0.000 0.000 0.809
Hf 0.000 0.000 0.000
Hg 0.500 0.500 0.088
Hg 0.500 0.500 0.294
Hg 0.500 0.500 0.500
Hg 0.500 0.500 0.706
Hg 0.500 0.500 0.912
```